[1]
## GaCu3Ag (GGA-PBE)

Data for GaCu3Ag after structural relaxation.

## Properties
Energy of formation = 0.59 eV per atom
Mass density = 6.80 g/cm³
Energy above the lowest structure with this stoichiometry = 0.000 eV/atom
Final energy = -3.045 eV per atom

Unit cell a=4.4804 b=4.4804 c=4.4804 alpha=90.00 beta=90.00 gamma=90.00
Last column: nearest neighbours and their distance in Å.
Space group Pm-3m (No. 221)
One atom of each set of equivalent atoms:
Ga  0.0000  0.0000  0.0000 x1  6 Cu 2.24
Cu  0.0000  0.0000  0.5000 x3  2 Ga 2.24
Ag  0.5000  0.5000  0.5000 x1  12 Cu 3.17

=====

[2]
## AcCu7Ni5 (GGA-PBE)

Data for AcCu7Ni5 after structural relaxation.

## Properties
Energy of formation = -0.07 eV per atom
Mass density = 9.15 g/cm³
Final energy = -4.818 eV per atom

Unit cell a=4.8455 b=8.5063 c=8.5039 alpha=90.00 beta=90.00 gamma=90.00
Last column: nearest neighbours and their distance in Å.
Space group Imm2 (No. 44)
One atom of each set of equivalent atoms:
Ac  0.0000  0.0000  0.0000 x2  10 Cu 3.00-3.17, 10 Ni 3.13-3.27
Cu  0.0000  0.0000  0.3524 x2  3 Cu 2.47-2.57, 6 Ni 2.59-2.63
Cu  0.0000  0.0000  0.6434 x2  5 Cu 2.47-2.62, 4 Ni 2.61
Cu  0.0000  0.2649  0.4976 x4  4 Ni 2.45, 4 Cu 2.57-2.63
Cu  0.0000  0.3562  0.9954 x4  4 Cu 2.45-2.63, 5 Ni 2.55-2.63
Cu  0.0000  0.5000  0.2602 x2  4 Ni 2.46, 4 Cu 2.56-2.62
Ni  0.0000  0.5000  0.7327 x2  4 Ni 2.44, 4 Cu 2.55-2.63
Ni  0.2499  0.2483  0.2473 x8  3 Ni 2.42-2.44, 7 Cu 2.45-2.63

=====

Which value of mass density does entry 1 give?
6.80 g/cm³

=====

Which of these has the lowest energy of formation?
AcCu7Ni5

=====

What did the second record say?
## AcCu7Ni5 (GGA-PBE)

Data for AcCu7Ni5 after structural relaxation.

## Properties
Energy of formation = -0.07 eV per atom
Mass density = 9.15 g/cm³
Final energy = -4.818 eV per atom

Unit cell a=4.8455 b=8.5063 c=8.5039 alpha=90.00 beta=90.00 gamma=90.00
Last column: nearest neighbours and their distance in Å.
Space group Imm2 (No. 44)
One atom of each set of equivalent atoms:
Ac  0.0000  0.0000  0.0000 x2  10 Cu 3.00-3.17, 10 Ni 3.13-3.27
Cu  0.0000  0.0000  0.3524 x2  3 Cu 2.47-2.57, 6 Ni 2.59-2.63
Cu  0.0000  0.0000  0.6434 x2  5 Cu 2.47-2.62, 4 Ni 2.61
Cu  0.0000  0.2649  0.4976 x4  4 Ni 2.45, 4 Cu 2.57-2.63
Cu  0.0000  0.3562  0.9954 x4  4 Cu 2.45-2.63, 5 Ni 2.55-2.63
Cu  0.0000  0.5000  0.2602 x2  4 Ni 2.46, 4 Cu 2.56-2.62
Ni  0.0000  0.5000  0.7327 x2  4 Ni 2.44, 4 Cu 2.55-2.63
Ni  0.2499  0.2483  0.2473 x8  3 Ni 2.42-2.44, 7 Cu 2.45-2.63

=====

Which of these has the lowest final energy?
AcCu7Ni5